This record from Alexandria via LeMat-Bulk describes AlCr3Bi after structural relaxation. The functional is GGA-PBE.

a = 4.7437 Å, b = 4.7437 Å, c = 4.7437 Å
α = 90.00°, β = 90.00°, γ = 90.00°
Last column: nearest neighbours and their distance in Å.
Positions (direct):
Cr 0.0000 0.5000 0.0000  2 Al 2.37
Cr 0.0000 0.0000 0.5000  2 Al 2.37
Cr 0.5000 0.0000 0.0000  2 Al 2.37
Bi 0.5000 0.5000 0.5000  12 Cr 3.35
Al 0.0000 0.0000 0.0000  6 Cr 2.37

Results
- excess energy over the best structure of this formula in the dataset (eV/atom) = 0.000
- volume (Å³/atom) = 21.35
- energy of formation (eV/f.u.) = 5.0
- E_tot (eV/atom) = -6.2994